Ca2CdFeO4: optimized geometry, GGA+U.

```
16
Lattice="-3.367 3.398 4.595 3.367 -3.398 4.595 3.367 3.398 -4.595" Properties=species:S:1:pos:R:3 pbc="T T T"
Ca 0.000 0.000 0.000
Ca -1.683 1.699 2.297
Ca 0.000 3.398 0.000
Ca 1.683 1.699 2.297
Cd 1.683 1.699 -2.297
Cd 1.683 -1.699 2.297
Fe 3.367 0.000 0.000
Fe 0.000 0.000 4.595
O 3.367 0.044 2.146
O 1.682 1.699 -0.004
O 1.685 -1.699 4.591
O 0.000 0.044 2.449
O 3.367 3.354 2.146
O 1.682 5.097 0.004
O 1.685 1.699 4.599
O 0.000 3.354 2.449
```

Summary:
Spin magnetization, μB per cell: 8.0
Uncorrected energy, eV per atom: -5.85